# 1
Material: Er4CdAgAu2
Method: DFT, PBE-GGA
State: optimized geometry

a = 5.1039 Å, b = 5.1039 Å, c = 24.9913 Å
α = 90.00°, β = 90.00°, γ = 120.00°
Space group R-3m (No. 166, hexagonal axes)
Unique sites:
Er 0.0000 0.0000 0.1223 [6 per cell]
Er 0.0000 0.0000 0.3727 [6 per cell]
Cd 0.0000 0.0000 0.5000 [3 per cell]
Ag 0.0000 0.0000 0.0000 [3 per cell]
Au 0.0000 0.0000 0.2463 [6 per cell]

Calculated density ... 11.339 g/cm³
Fermi-level density of states ... 18.5 states/eV/cell
Volume ... 563.8 Å³ per cell
Magnetization ... 0.00 μB/f.u.
Formation energy ... -0.59 eV per atom

=====

# 2
Material: Er4CdAg2Au
Method: DFT, PBE-GGA
State: optimized geometry

a = 5.1179 Å, b = 5.1179 Å, c = 25.0992 Å
α = 90.00°, β = 90.00°, γ = 120.00°
Space group R-3m (No. 166, hexagonal axes)
Unique sites:
Er 0.0000 0.0000 0.1206 [6 per cell]
Er 0.0000 0.0000 0.3713 [6 per cell]
Cd 0.0000 0.0000 0.5000 [3 per cell]
Ag 0.0000 0.0000 0.2437 [6 per cell]
Au 0.0000 0.0000 0.0000 [3 per cell]

Calculated density ... 10.448 g/cm³
Fermi-level density of states ... 19.2 states/eV/cell
Volume ... 569.4 Å³ per cell
Magnetization ... 0.00 μB/f.u.
Formation energy ... -0.47 eV per atom

=====

# 3
Material: EuCdAgAu
Method: DFT, PBE-GGA
State: optimized geometry

a = 7.195 Å, b = 7.195 Å, c = 7.195 Å
α = 90.00°, β = 90.00°, γ = 90.00°
Space group F-43m (No. 216)
Unique sites:
Eu 0.000 0.000 0.000 [4 per cell]
Cd 0.000 0.000 0.500 [4 per cell]
Ag 0.250 0.250 0.750 [4 per cell]
Au 0.250 0.250 0.250 [4 per cell]

Calculated density ... 10.152 g/cm³
Fermi-level density of states ... 38.2 states/eV/cell
Volume ... 372.4 Å³ per cell
Magnetization ... 7.04 μB/f.u.
Formation energy ... -0.41 eV per atom

=====

# 4
Material: CdAgAu2F8
Method: DFT, PBE-GGA
State: optimized geometry

a = 7.016 Å, b = 7.016 Å, c = 7.969 Å
α = 90.00°, β = 90.00°, γ = 90.00°
Space group I-4m2 (No. 119)
Unique sites:
Cd 0.000 0.000 0.000 [2 per cell]
Ag 0.000 0.500 0.250 [2 per cell]
Au 0.000 0.000 0.500 [2 per cell]
Au 0.000 0.500 0.750 [2 per cell]
F 0.000 0.190 0.283 [8 per cell]
F 0.000 0.313 0.962 [8 per cell]

Calculated density ... 6.487 g/cm³
Fermi-level density of states ... 18.7 states/eV/cell
Volume ... 392.2 Å³ per cell
Total energy ... -3.193 eV per atom
Magnetization ... 1.52 μB/f.u.